Compound: SrMgSc2Ir
Source: Alexandria
Functional: PBE
Structure: relaxed

a = 5.094 Å, b = 5.094 Å, c = 5.288 Å
α = 90.00°, β = 90.00°, γ = 90.00°
Positions (direct):
Sr1 0.000 0.000 0.000
Mg1 0.500 0.500 0.000
Sc1 0.000 0.500 0.500
Sc2 0.500 0.000 0.500
Ir1 0.500 0.500 0.500

Values from the calculation:
Calculated formation energy: -300 meV per atom

Compound: NdSm2CdO
Source: Alexandria
Functional: PBE
Structure: relaxed

a = 4.917 Å, b = 4.917 Å, c = 4.988 Å
α = 90.00°, β = 90.00°, γ = 90.00°
Positions (direct):
Nd1 0.000 0.000 0.000
Sm1 0.000 0.500 0.500
Sm2 0.500 0.000 0.500
Cd1 0.500 0.500 0.000
O1 0.000 0.000 0.500

Values from the calculation:
Total DFT energy (no corrections): -5.309 eV/atom

Compound: GaCo3H
Source: Alexandria
Functional: PBE
Structure: relaxed

a = 4.506 Å, b = 4.506 Å, c = 5.068 Å
α = 90.00°, β = 90.00°, γ = 111.49°
Positions (direct):
Ga1 0.238 0.762 0.750
Ga2 0.762 0.238 0.250
Co1 0.235 0.765 0.250
Co2 0.251 0.251 0.000
Co3 0.251 0.251 0.500
Co4 0.749 0.749 0.000
Co5 0.749 0.749 0.500
Co6 0.765 0.235 0.750
H1 0.457 0.543 0.250
H2 0.543 0.457 0.750

Values from the calculation:
Polymorph energy (0 for the lowest one): 0.21 eV per formula unit

Compound: Cr2AgPd
Source: Alexandria
Functional: PBE
Structure: relaxed

a = 4.341 Å, b = 4.341 Å, c = 4.341 Å
α = 60.00°, β = 60.00°, γ = 60.00°
Positions (direct):
Cr1 0.250 0.250 0.250
Cr2 0.750 0.750 0.750
Ag1 0.000 0.000 0.000
Pd1 0.500 0.500 0.500

Values from the calculation:
Calculated formation energy: 822 meV per atom
Polymorph energy (0 for the lowest one): 0.00 eV per formula unit

Compound: Rb3TlOs2O8
Source: Alexandria
Functional: PBE
Structure: relaxed

a = 6.455 Å, b = 6.455 Å, c = 8.394 Å
α = 90.00°, β = 90.00°, γ = 120.00°
Positions (direct):
Rb1 0.000 0.000 0.000
Rb2 0.333 0.667 0.661
Rb3 0.667 0.333 0.339
Tl1 0.000 0.000 0.500
Os1 0.333 0.667 0.198
Os2 0.667 0.333 0.802
O1 0.183 0.366 0.284
O2 0.183 0.817 0.284
O3 0.333 0.667 0.986
O4 0.366 0.183 0.716
O5 0.634 0.817 0.284
O6 0.667 0.333 0.014
O7 0.817 0.183 0.716
O8 0.817 0.634 0.716

Values from the calculation:
Total DFT energy (no corrections): -6.029 eV/atom

Compound: Tb6Dy3TmSc2
Source: Alexandria
Functional: PBE
Structure: relaxed

a = 6.074 Å, b = 6.074 Å, c = 11.549 Å
α = 95.02°, β = 95.02°, γ = 119.95°
Positions (direct):
Tb1 0.083 0.418 0.756
Tb2 0.246 0.246 0.244
Tb3 0.418 0.083 0.756
Tb4 0.582 0.917 0.244
Tb5 0.754 0.754 0.756
Tb6 0.917 0.582 0.244
Dy1 0.000 0.000 0.500
Dy2 0.333 0.667 0.500
Dy3 0.667 0.333 0.500
Tm1 0.500 0.500 0.000
Sc1 0.167 0.833 0.000
Sc2 0.833 0.167 0.000

Values from the calculation:
Calculated formation energy: 35 meV per atom